The following is a DFT calculation (PBE-GGA) of a geometry-optimized Hf8Au2N3 structure.

Energy = -9.33 eV/atom
ΔE_f (raw) = -0.78 eV/atom
Total magnetic moment = 0.00 μB per cell
V = 18.58 Å³ per atom

a b c (Å): 7.476 7.476 5.728
angles (deg): 103.58 103.58 51.39
Element x y z (fractional)
Hf 0.094 0.094 0.913
Hf 0.158 0.657 0.611
Hf 0.343 0.842 0.389
Hf 0.405 0.405 0.111
Hf 0.595 0.595 0.889
Hf 0.657 0.158 0.611
Hf 0.842 0.343 0.389
Hf 0.906 0.906 0.087
Au 0.247 0.247 0.680
Au 0.753 0.753 0.320
N 0.265 0.735 0.000
N 0.500 0.500 0.500
N 0.735 0.265 0.000